4
Lattice="4.461 0.000 0.000 0.000 4.267 -0.009 0.000 1.459 4.007" Properties=species:S:1:pos:R:3 comment="PBE CuPtSe2, relaxed" total_energy_ev_per_cell=-17.56 magnetic_moment_mub_per_cell=0.0 space_group="Amm2 (38)" vol_a3_per_atom=19.085 dos_at_fermi_per_ev_fu=1.9 crystal_system=orthorhombic raw_formation_energy_ev_per_atom=-0.1142 pbc="T T T"
Se 0.000 5.164 3.607
Se 2.231 1.999 1.395
Cu 0.000 2.941 2.055
Pt 2.231 4.212 2.940